Entry 1:
BaCaCu2 (PBE, optimized geometry); distance to the lowest polymorph of the same formula = 74 meV per atom; space-group type = R-3m; size of the total moment = 0.00 μB per cell; ΔH_f (0 K) = 0.0184 eV/atom
1.0
6.1373 -0.7258 -0.4450
4.6889 4.0258 -0.4450
4.6889 1.4293 3.7898
Ca Ba Cu
1 1 2
Cartesian
3.8788 1.1823 0.7249 Ca
11.6363 3.5470 2.1748 Ba
14.7297 4.4899 2.7530 Cu
8.5429 2.6040 1.5967 Cu

Entry 2:
Sr6CaMg5 (PBE, optimized geometry); space-group type = P2/m; size of the total moment = 0.00 μB per cell; ΔH_f (0 K) = -0.0284 eV/atom
1.0
5.8355 0.0024 -1.2313
-0.0037 8.6536 -0.0009
-1.1101 0.0005 9.3768
Mg Sr Ca
5 6 1
Cartesian
3.4907 0.0018 2.1185 Mg
-0.0019 4.3268 -0.0005 Mg
1.2230 4.3280 5.8443 Mg
3.4987 4.3285 2.3004 Mg
1.2310 8.6547 6.0262 Mg
4.1055 2.2221 5.1227 Sr
0.6181 2.2204 3.0224 Sr
2.9150 6.3338 -0.6163 Sr
1.8067 2.3227 8.7609 Sr
4.1036 6.4361 5.1222 Sr
0.6162 6.4344 3.0219 Sr
0.0000 0.0000 0.0000 Ca